Entry 1:
# CsSe3

Crystalline CsSe3 at its relaxed geometry (PBE-GGA, Alexandria via LeMat-Bulk).

a = 7.1246 Å, b = 7.1246 Å, c = 7.1246 Å
α = 90.13°, β = 90.13°, γ = 90.13°
Last column: nearest neighbours and their distance in Å.
Sites, in units of the cell vectors:
Cs 0.2690 0.2690 0.2690  6 Se 3.68-3.73
Cs 0.7310 0.7310 0.7310  6 Se 3.68-3.73
Se 0.2276 0.8309 0.8309  2 Se 2.48
Se 0.8309 0.8309 0.2276  2 Se 2.48
Se 0.1691 0.1691 0.7724  2 Se 2.48
Se 0.8309 0.2276 0.8309  2 Se 2.48
Se 0.1691 0.7724 0.1691  2 Se 2.48
Se 0.7724 0.1691 0.1691  2 Se 2.48

Computed properties:
Magnetization   0.00 μB/f.u.
Fermi-level density of states   5.1 states/eV/cell
ΔE_f (raw)   -0.4031 eV per atom

***

Entry 2:
# TePbW2

Crystalline TePbW2 at its relaxed geometry (PBE-GGA, Alexandria via LeMat-Bulk).

a = 5.1201 Å, b = 5.1201 Å, c = 5.1201 Å
α = 128.25°, β = 128.25°, γ = 76.22°
Last column: nearest neighbours and their distance in Å.
Sites, in units of the cell vectors:
Pb 0.5000 0.5000 0.0000  4 Te 3.01, 8 W 3.01-3.16
W 0.0000 0.0000 0.0000  4 W 3.01, 4 Te 3.01, 4 Pb 3.16
W 0.2500 0.7500 0.5000  4 W 3.01, 4 Pb 3.01, 4 Te 3.16
Te 0.7500 0.2500 0.5000  4 Pb 3.01, 8 W 3.01-3.16

Computed properties:
Magnetization   0.00 μB/f.u.
Fermi-level density of states   2.2 states/eV/cell
ΔE_f (raw)   1.1322 eV per atom

***

Entry 3:
# Pm9Tl3O2

Crystalline Pm9Tl3O2 at its relaxed geometry (PBE-GGA, Alexandria via LeMat-Bulk).

a = 7.0421 Å, b = 7.0421 Å, c = 8.6372 Å
α = 90.00°, β = 90.00°, γ = 120.00°
Last column: nearest neighbours and their distance in Å.
Sites, in units of the cell vectors:
O 0.6667 0.3333 0.1588  6 Pm 2.45-2.50
O 0.3333 0.6667 0.8412  6 Pm 2.45-2.50
Pm 0.6622 0.8311 0.6692  1 O 2.50
Pm 0.8311 0.6622 0.3308  1 O 2.50
Pm 0.8311 0.1689 0.3308  1 O 2.50
Pm 0.1689 0.3378 0.6692  1 O 2.50
Pm 0.5000 0.5000 0.0000  2 O 2.45
Pm 0.3378 0.1689 0.3308  1 O 2.50
Pm 0.1689 0.8311 0.6692  1 O 2.50
Pm 0.0000 0.5000 0.0000  2 O 2.45
Pm 0.5000 0.0000 0.0000  2 O 2.45
Tl 0.6667 0.3333 0.6672  12 Pm 3.52-3.53
Tl 0.3333 0.6667 0.3328  12 Pm 3.52-3.53
Tl 0.0000 0.0000 0.0000  12 Pm 3.52

Computed properties:
Magnetization   0.00 μB/f.u.
Fermi-level density of states   9.7 states/eV/cell
ΔE_f (raw)   -0.9869 eV per atom

***

Entry 4:
# LiTbPm4Se8

Crystalline LiTbPm4Se8 at its relaxed geometry (PBE-GGA, Alexandria via LeMat-Bulk).

a = 8.6399 Å, b = 8.6399 Å, c = 8.4484 Å
α = 59.25°, β = 59.25°, γ = 60.00°
Last column: nearest neighbours and their distance in Å.
Sites, in units of the cell vectors:
Se 0.7705 0.2429 0.7437  1 Tb 2.74, 2 Pm 2.94, 1 Li 2.95
Se 0.7646 0.7646 0.2508  3 Pm 2.79-2.93, 1 Li 2.83
Se 0.2429 0.2429 0.7437  1 Tb 2.74, 2 Pm 2.94, 1 Li 2.95
Se 0.7544 0.7544 0.7369  4 Pm 2.85-2.96
Se 0.7646 0.2201 0.2508  3 Pm 2.79-2.93, 1 Li 2.83
Se 0.2201 0.7646 0.2508  3 Pm 2.79-2.93, 1 Li 2.83
Se 0.2429 0.7705 0.7437  1 Tb 2.74, 2 Pm 2.94, 1 Li 2.95
Se 0.2453 0.2453 0.2642  1 Tb 2.79, 3 Pm 2.98
Pm 0.6152 0.6152 0.1543  4 Se 2.79-2.85
Pm 0.5006 0.9993 0.5008  6 Se 2.93-2.98
Pm 0.9993 0.9993 0.5008  6 Se 2.93-2.98
Pm 0.9993 0.5006 0.5008  6 Se 2.93-2.98
Tb 0.3814 0.3814 0.8557  4 Se 2.74-2.79
Li 0.9989 0.9989 0.0033  6 Se 2.83-2.95

Computed properties:
Magnetization   0.00 μB/f.u.
Fermi-level density of states   0.0 states/eV/cell
ΔE_f (raw)   -1.7001 eV per atom

***

Entry 5:
# NaTb2Nd

Crystalline NaTb2Nd at its relaxed geometry (PBE-GGA, Alexandria via LeMat-Bulk).

a = 3.5415 Å, b = 3.5415 Å, c = 12.9849 Å
α = 82.16°, β = 82.16°, γ = 60.00°
Last column: nearest neighbours and their distance in Å.
Sites, in units of the cell vectors:
Nd 0.5000 0.5000 0.5000  6 Nd 3.54, 6 Tb 3.55
Na 0.0000 0.0000 0.0000  2 Tb 3.51, 6 Na 3.54
Tb 0.0914 0.0914 0.7259  1 Na 3.51, 6 Tb 3.54, 3 Nd 3.55
Tb 0.9086 0.9086 0.2741  1 Na 3.51, 6 Tb 3.54, 3 Nd 3.55

Computed properties:
Raw total energy   -0.135 Ha/atom
Magnetization   0.00 μB/f.u.
Fermi-level density of states   5.7 states/eV/cell

***

Entry 6:
# PrHoIr2

Crystalline PrHoIr2 at its relaxed geometry (PBE-GGA, Alexandria via LeMat-Bulk).

a = 3.4088 Å, b = 3.4088 Å, c = 7.3195 Å
α = 90.00°, β = 90.00°, γ = 90.00°
Last column: nearest neighbours and their distance in Å.
Sites, in units of the cell vectors:
Ho 0.5000 0.5000 0.0000  8 Ir 2.95
Ir 0.0000 0.0000 0.7672  4 Ho 2.95, 4 Pr 3.10
Ir 0.0000 0.0000 0.2328  4 Ho 2.95, 4 Pr 3.10
Pr 0.5000 0.5000 0.5000  8 Ir 3.10, 4 Pr 3.41

Computed properties:
Raw total energy   -0.272 Ha/atom
Magnetization   0.00 μB/f.u.
Fermi-level density of states   2.5 states/eV/cell

***

Repeat the first record exactly.
# CsSe3

Crystalline CsSe3 at its relaxed geometry (PBE-GGA, Alexandria via LeMat-Bulk).

a = 7.1246 Å, b = 7.1246 Å, c = 7.1246 Å
α = 90.13°, β = 90.13°, γ = 90.13°
Last column: nearest neighbours and their distance in Å.
Sites, in units of the cell vectors:
Cs 0.2690 0.2690 0.2690  6 Se 3.68-3.73
Cs 0.7310 0.7310 0.7310  6 Se 3.68-3.73
Se 0.2276 0.8309 0.8309  2 Se 2.48
Se 0.8309 0.8309 0.2276  2 Se 2.48
Se 0.1691 0.1691 0.7724  2 Se 2.48
Se 0.8309 0.2276 0.8309  2 Se 2.48
Se 0.1691 0.7724 0.1691  2 Se 2.48
Se 0.7724 0.1691 0.1691  2 Se 2.48

Computed properties:
Magnetization   0.00 μB/f.u.
Fermi-level density of states   5.1 states/eV/cell
ΔE_f (raw)   -0.4031 eV per atom